Computed, not measured: crystalline Er8Tl2In3 at its relaxed geometry at the PBE level of DFT.

Cell: 16.278 8.618 5.441 Å, 90.00 90.02 90.00°
Space group C2/m (No. 12)
Symmetry-distinct sites (fractional):
Er1 0.107 0.000 0.000 x4
Er2 0.114 0.290 0.500 x8
Er3 0.180 0.500 0.001 x4
Tl1 0.226 0.000 0.499 x4
In1 0.000 0.000 0.500 x2
In2 0.000 0.322 0.000 x4

Summary:
- magnetic moment (μB/f.u.) = 0.5
- electronic total energy (eV/atom) = -3.9381

Computed, not measured: crystalline Er4Tl5In at its relaxed geometry at the PBE level of DFT.

Cell: 17.327 4.908 6.522 Å, 90.00 105.53 90.00°
Space group C2/m (No. 12)
Symmetry-distinct sites (fractional):
Er1 0.087 0.000 0.335 x4
Er2 0.199 0.500 0.119 x4
Tl1 0.000 0.500 0.500 x2
Tl2 0.106 0.000 0.845 x4
Tl3 0.205 0.500 0.612 x4
In1 0.000 0.500 0.000 x2

Summary:
- magnetic moment (μB/f.u.) = 0.0
- ΔE to the lowest computed polymorph (meV per atom) = 0.0
- electronic total energy (eV/atom) = -3.5625

Computed, not measured: crystalline Er2TlIn at its relaxed geometry at the PBE level of DFT.

Cell: 3.6810 3.6810 28.8747 Å, 90.00 90.00 120.00°
Space group R-3m (No. 166, hexagonal axes)
Symmetry-distinct sites (fractional):
Er1 0.0000 0.0000 0.2503 x6
Tl1 0.0000 0.0000 0.5000 x3
In1 0.0000 0.0000 0.0000 x3

Summary:
- magnetic moment (μB/f.u.) = 0.0
- electronic total energy (eV/atom) = -3.8432

Computed, not measured: crystalline Er6TlIn3 at its relaxed geometry at the PBE level of DFT.

Cell: 9.644 5.165 11.293 Å, 90.00 104.45 90.00°
Space group P2_1/m (No. 11)
Symmetry-distinct sites (fractional):
Er1 0.054 0.250 0.412 x2
Er2 0.154 0.750 0.184 x2
Er3 0.254 0.250 0.995 x2
Er4 0.330 0.750 0.801 x2
Er5 0.371 0.250 0.322 x2
Er6 0.400 0.250 0.618 x2
Tl1 0.443 0.750 0.110 x2
In1 0.031 0.750 0.889 x2
In2 0.120 0.250 0.709 x2
In3 0.284 0.750 0.475 x2

Summary:
- magnetic moment (μB/f.u.) = 0.0
- electronic total energy (eV/atom) = -4.1227

Computed, not measured: crystalline ErTlIn at its relaxed geometry at the PBE level of DFT.

Cell: 5.0196 5.0196 3.6193 Å, 90.00 90.00 120.00°
Space group P3m1 (No. 156)
Symmetry-distinct sites (fractional):
Er1 0.0000 0.0000 0.0000 x1
Tl1 0.3333 0.6667 0.6416 x1
In1 0.6667 0.3333 0.4068 x1

Summary:
- magnetic moment (μB/f.u.) = 0.0
- ΔE to the lowest computed polymorph (meV per atom) = 3.5
- electronic total energy (eV/atom) = -3.4684

Computed, not measured: crystalline Er6Tl6In at its relaxed geometry at the PBE level of DFT.

Cell: 6.4549 6.4549 10.2913 Å, 90.00 90.00 120.00°
Space group P6/mmm (No. 191)
Symmetry-distinct sites (fractional):
Er1 0.0000 0.0000 0.1803 x2
Er2 0.3333 0.6667 0.0000 x2
Er3 0.3333 0.6667 0.5000 x2
Tl1 0.0000 0.5000 0.2509 x6
In1 0.0000 0.0000 0.5000 x1

Summary:
- magnetic moment (μB/f.u.) = 0.0
- electronic total energy (eV/atom) = -3.5666